VASP calculation (GGA-PBE) on a relaxed structure of CeNd2SmHo5.

Cell lengths 8.6398, 8.6398, 15.5715 Å; angles 90.00, 90.00, 90.00 degrees
Closest atoms and distances in Å follow each position.
Space group I4/mcm (No. 140)
One atom of each set of equivalent atoms:
Ce 0.0000 0.5000 0.2500 x4  4 Ho 3.03
Nd 0.1200 0.3800 0.0000 x8  1 Nd 2.93, 2 Ho 3.06
Sm 0.0000 0.0000 0.2500 x4  10 Ho 3.55-3.89
Ho 0.0000 0.0000 0.0000 x4  4 Nd 3.44, 8 Ho 3.79
Ho 0.2045 0.2955 0.3602 x16  1 Ce 3.03, 1 Nd 3.06

density of states at the Fermi level = 58.97 states/eV/cell
spin magnetization = 4.0 μB per cell
calculated volume = 1162.3 Å³/cell
final energy = -162.7 eV per cell
energy of formation = 0.268 eV per atom